# PBE Li2Ca3Sn3, optimized geometry
# magnetization: 0.00 μB per formula unit
# calculated volume: 26.62 Å³ per atom
# ρ: 3.82 Mg/m³
# ΔE_f: -0.545 eV/atom
data_Li2Ca3Sn3
_chemical_formula_sum 'Li8 Ca12 Sn12'
_cell_length_a 4.692
_cell_length_b 11.405
_cell_length_c 15.922
_cell_angle_alpha 90.00
_cell_angle_beta 90.00
_cell_angle_gamma 90.00
_space_group_name_H-M_alt 'C m c m'
_space_group_IT_number 63
_space_group_name_Hall '-C 2c 2'
loop_
_atom_site_label
_atom_site_fract_x
_atom_site_fract_y
_atom_site_fract_z
_atom_site_occupancy
Li1 0.000 0.217 0.092 1
Ca1 0.000 0.086 0.610 1
Ca2 0.000 0.366 0.750 1
Sn1 0.000 0.342 0.250 1
Sn2 0.000 0.389 0.544 1